Compound: PrSnRu
Source: Alexandria via LeMat-Bulk
Functional: PBE-GGA
Structure: relaxed

formation energy: -0.295 eV/atom
space-group type: I4mm, No. 107

Cell: 6.3431 6.3431 6.3431 Å, 148.94 148.94 44.50°
Last column: nearest neighbours and their distance in Å.
Positions (direct):
1 Pr 0.0000 0.0000 0.0000  4 Ru 3.12, 5 Sn 3.37-3.47, 4 Pr 3.40
2 Sn 0.7134 0.7134 0.0000  4 Ru 2.77
3 Ru 0.3308 0.3308 0.0000  4 Sn 2.77

Compound: KGaPdF6
Source: Alexandria via LeMat-Bulk
Functional: PBE-GGA
Structure: relaxed

E_form (uncorrected): -2212 meV per atom
space-group type: C2, No. 5

Cell: 5.5627 5.5627 5.6014 Å, 90.05 90.05 119.93°
Last column: nearest neighbours and their distance in Å.
Positions (direct):
1 K 0.0000 0.0000 0.0000  6 F 2.68-2.69
2 Ga 0.6667 0.3333 0.5000  6 F 1.93-1.94
3 Pd 0.3332 0.6668 0.5000  6 F 2.21
4 F 0.3882 0.3510 0.3058  1 Ga 1.93
5 F 0.3894 0.0380 0.6947  1 Ga 1.94
6 F 0.6482 0.0367 0.3057  1 Ga 1.94
7 F 0.6490 0.6118 0.6942  1 Ga 1.93
8 F 0.9620 0.6106 0.3053  1 Ga 1.94
9 F 0.9633 0.3518 0.6943  1 Ga 1.94

Compound: Tb6Pr3Dy2Pu
Source: Alexandria via LeMat-Bulk
Functional: PBE-GGA
Structure: relaxed

formation energy: 0.046 eV/atom
space-group type: C2/m, No. 12

Cell: 6.2146 6.2146 11.8186 Å, 95.04 95.04 120.04°
Last column: nearest neighbours and their distance in Å.
Positions (direct):
1 Tb 0.0811 0.4101 0.2436  1 Pu 3.49, 2 Dy 3.52, 6 Tb 3.54-3.61, 3 Pr 3.62-3.65
2 Tb 0.2480 0.2480 0.7562  1 Pu 3.50, 2 Dy 3.52, 6 Tb 3.54-3.61, 3 Pr 3.62-3.65
3 Tb 0.4101 0.0811 0.2436  1 Pu 3.49, 2 Dy 3.52, 6 Tb 3.54-3.61, 3 Pr 3.62-3.65
4 Tb 0.5899 0.9189 0.7564  1 Pu 3.49, 2 Dy 3.52, 6 Tb 3.54-3.61, 3 Pr 3.62-3.65
5 Tb 0.7520 0.7520 0.2438  1 Pu 3.50, 2 Dy 3.52, 6 Tb 3.54-3.61, 3 Pr 3.62-3.65
6 Tb 0.9189 0.5899 0.7564  1 Pu 3.49, 2 Dy 3.52, 6 Tb 3.54-3.61, 3 Pr 3.62-3.65
7 Pr 0.1670 0.8330 0.5000  6 Pr 3.58-3.59, 6 Tb 3.62-3.65
8 Pr 0.5000 0.5000 0.5000  6 Pr 3.59, 6 Tb 3.62-3.65
9 Pr 0.8330 0.1670 0.5000  6 Pr 3.58-3.59, 6 Tb 3.62-3.65
10 Dy 0.3334 0.6666 0.0000  6 Tb 3.52, 3 Pu 3.59, 3 Dy 3.59
11 Dy 0.6666 0.3334 0.0000  6 Tb 3.52, 3 Pu 3.59, 3 Dy 3.59
12 Pu 0.0000 0.0000 0.0000  6 Tb 3.49-3.50, 6 Dy 3.59

Compound: SrZrAs2
Source: Alexandria via LeMat-Bulk
Functional: PBE-GGA
Structure: relaxed

formation energy: -0.828 eV/atom
space-group type: I-42d, No. 122
relative energy among the computed polymorphs: 0.321 eV per atom

Cell: 6.8475 6.8475 6.8475 Å, 114.46 114.46 99.90°
Last column: nearest neighbours and their distance in Å.
Positions (direct):
1 Sr 0.0000 0.0000 0.0000  4 As 3.10
2 Sr 0.7500 0.2500 0.5000  4 As 3.10
3 Zr 0.2500 0.7500 0.5000  4 As 2.61
4 Zr 0.5000 0.5000 0.0000  4 As 2.61
5 As 0.1754 0.1250 0.5504  2 Zr 2.61
6 As 0.3750 0.8246 0.9496  2 Zr 2.61
7 As 0.5746 0.6250 0.4496  2 Zr 2.61
8 As 0.8750 0.4254 0.0504  2 Zr 2.61

Compound: Mg2ReRh
Source: Alexandria via LeMat-Bulk
Functional: PBE-GGA
Structure: relaxed

formation energy: 0.065 eV/atom
space-group type: Cm, No. 8
relative energy among the computed polymorphs: 0.131 eV per atom

Cell: 4.8661 4.8661 4.9712 Å, 98.42 98.42 33.54°
Last column: nearest neighbours and their distance in Å.
Positions (direct):
1 Mg 0.0000 0.0000 0.0000  5 Mg 2.66-2.93, 4 Re 2.79-2.93, 3 Rh 2.87-2.95
2 Mg 0.2353 0.2353 0.7567  5 Mg 2.66-2.93, 4 Rh 2.74-2.98, 3 Re 2.85-2.91
3 Re 0.4813 0.4813 0.4792  3 Rh 2.66-2.77, 7 Mg 2.79-2.93, 2 Re 2.81
4 Rh 0.7449 0.7449 0.2869  3 Re 2.66-2.77, 7 Mg 2.74-2.98, 2 Rh 2.81

Compound: NbTl3O4
Source: Alexandria via LeMat-Bulk
Functional: PBE-GGA
Structure: relaxed

E_form (uncorrected): -1523 meV per atom
space-group type: Pnma, No. 62

Cell: 8.8729 9.0534 8.8800 Å, 90.00 90.00 90.00°
Last column: nearest neighbours and their distance in Å.
Positions (direct):
1 Nb 0.2174 0.2500 0.0220  4 O 1.88-1.89
2 Nb 0.2826 0.7500 0.5220  4 O 1.88-1.89
3 Nb 0.7174 0.2500 0.4780  4 O 1.88-1.89
4 Nb 0.7826 0.7500 0.9780  4 O 1.88-1.89
5 Tl 0.0156 0.5051 0.7302  2 O 2.55-2.83
6 Tl 0.0156 0.9949 0.7302  2 O 2.55-2.83
7 Tl 0.2450 0.2500 0.5131  2 O 2.51-2.52
8 Tl 0.2550 0.7500 0.0131  2 O 2.51-2.52
9 Tl 0.4844 0.0051 0.2302  2 O 2.55-2.83
10 Tl 0.4844 0.4949 0.2302  2 O 2.55-2.83
11 Tl 0.5156 0.5051 0.7698  2 O 2.55-2.83
12 Tl 0.5156 0.9949 0.7698  2 O 2.55-2.83
13 Tl 0.7450 0.2500 0.9869  2 O 2.51-2.52
14 Tl 0.7550 0.7500 0.4869  2 O 2.51-2.52
15 Tl 0.9844 0.0051 0.2698  2 O 2.55-2.83
16 Tl 0.9844 0.4949 0.2698  2 O 2.55-2.83
17 O 0.0242 0.2500 0.9333  1 Nb 1.89
18 O 0.1769 0.5786 0.4654  1 Nb 1.88
19 O 0.1769 0.9214 0.4654  1 Nb 1.88
20 O 0.2000 0.2500 0.2339  1 Nb 1.89
21 O 0.3000 0.7500 0.7339  1 Nb 1.89
22 O 0.3231 0.0786 0.9654  1 Nb 1.88
23 O 0.3231 0.4214 0.9654  1 Nb 1.88
24 O 0.4758 0.7500 0.4333  1 Nb 1.89
25 O 0.5242 0.2500 0.5667  1 Nb 1.89
26 O 0.6769 0.5786 0.0346  1 Nb 1.88
27 O 0.6769 0.9214 0.0346  1 Nb 1.88
28 O 0.7000 0.2500 0.2661  1 Nb 1.89
29 O 0.8000 0.7500 0.7661  1 Nb 1.89
30 O 0.8231 0.0786 0.5346  1 Nb 1.88
31 O 0.8231 0.4214 0.5346  1 Nb 1.88
32 O 0.9758 0.7500 0.0667  1 Nb 1.89

Compound: Cs4KCu3F12
Source: Alexandria via LeMat-Bulk
Functional: PBE-GGA
Structure: relaxed

E_form (uncorrected): -2176 meV per atom
space-group type: Im-3m, No. 229

Cell: 7.6360 7.6360 7.6360 Å, 109.47 109.47 109.47°
Last column: nearest neighbours and their distance in Å.
Positions (direct):
1 Cs 0.0000 0.0000 0.5000  12 F 3.12-3.14
2 Cs 0.0000 0.5000 0.0000  12 F 3.12-3.14
3 Cs 0.5000 0.0000 0.0000  12 F 3.12-3.14
4 Cs 0.5000 0.5000 0.5000  12 F 3.12-3.14
5 K 0.0000 0.0000 0.0000  6 F 2.55
6 Cu 0.0000 0.5000 0.5000  2 F 1.86
7 Cu 0.5000 0.0000 0.5000  2 F 1.86
8 Cu 0.5000 0.5000 0.0000  2 F 1.86
9 F 0.0000 0.2888 0.2888  1 Cu 1.86
10 F 0.0000 0.7112 0.7112  1 Cu 1.86
11 F 0.2500 0.5000 0.7500  2 Cu 2.20
12 F 0.2500 0.7500 0.5000  2 Cu 2.20
13 F 0.2888 0.0000 0.2888  1 Cu 1.86
14 F 0.2888 0.2888 0.0000  1 Cu 1.86
15 F 0.5000 0.2500 0.7500  2 Cu 2.20
16 F 0.5000 0.7500 0.2500  2 Cu 2.20
17 F 0.7112 0.0000 0.7112  1 Cu 1.86
18 F 0.7112 0.7112 0.0000  1 Cu 1.86
19 F 0.7500 0.2500 0.5000  2 Cu 2.20
20 F 0.7500 0.5000 0.2500  2 Cu 2.20

Compound: Li2TbPr2Ge2
Source: Alexandria via LeMat-Bulk
Functional: PBE-GGA
Structure: relaxed

formation energy: -0.489 eV/atom
space-group type: R-3m, No. 166

Cell: 10.0869 10.0869 10.0869 Å, 25.55 25.55 25.55°
Last column: nearest neighbours and their distance in Å.
Positions (direct):
1 Li 0.1116 0.1116 0.1116  3 Ge 2.58
2 Li 0.8884 0.8884 0.8884  3 Ge 2.58
3 Tb 0.5000 0.5000 0.5000  6 Li 3.04, 6 Ge 3.13
4 Pr 0.3774 0.3774 0.3774  3 Ge 3.15, 3 Li 3.25
5 Pr 0.6226 0.6226 0.6226  3 Ge 3.15, 3 Li 3.25
6 Ge 0.2274 0.2274 0.2274  3 Li 2.58
7 Ge 0.7726 0.7726 0.7726  3 Li 2.58

Compound: NaBi2PbCl
Source: Alexandria via LeMat-Bulk
Functional: PBE-GGA
Structure: relaxed

E_form (uncorrected): 431 meV per atom
space-group type: P4/mmm, No. 123

Cell: 5.4623 5.4623 5.8962 Å, 90.00 90.00 90.00°
Last column: nearest neighbours and their distance in Å.
Positions (direct):
1 Na 0.0000 0.0000 0.0000  4 Bi 2.73, 2 Pb 2.95
2 Bi 0.0000 0.5000 0.0000  2 Na 2.73
3 Bi 0.5000 0.0000 0.0000  2 Na 2.73
4 Pb 0.0000 0.0000 0.5000  2 Na 2.95
5 Cl 0.5000 0.5000 0.5000  4 Pb 3.86, 8 Bi 4.02

Compound: TlSn2HgPb4
Source: Alexandria via LeMat-Bulk
Functional: PBE-GGA
Structure: relaxed

formation energy: 0.128 eV/atom
space-group type: P2/m, No. 10

Cell: 7.6756 4.5587 7.9343 Å, 90.00 111.01 90.00°
Last column: nearest neighbours and their distance in Å.
Positions (direct):
1 Tl 0.0000 0.0000 0.0000  6 Pb 3.26-3.32
2 Sn 0.0000 0.5000 0.5000  6 Pb 3.11-3.13
3 Sn 0.5000 0.0000 0.5000  6 Pb 3.09-3.11
4 Hg 0.5000 0.5000 0.0000  6 Pb 3.25-3.31
5 Pb 0.2468 0.0000 0.7311  3 Sn 3.11, 2 Hg 3.25, 1 Tl 3.32
6 Pb 0.2570 0.5000 0.2699  3 Sn 3.09-3.13, 2 Tl 3.26, 1 Hg 3.31
7 Pb 0.7430 0.5000 0.7301  3 Sn 3.09-3.13, 2 Tl 3.26, 1 Hg 3.31
8 Pb 0.7532 0.0000 0.2689  3 Sn 3.11, 2 Hg 3.25, 1 Tl 3.32

Compound: La2Sm5Tl3
Source: Alexandria via LeMat-Bulk
Functional: PBE-GGA
Structure: relaxed

formation energy: -0.068 eV/atom
space-group type: Ibam, No. 72

Cell: 10.6342 10.6342 10.6342 Å, 104.16 87.77 142.59°
Last column: nearest neighbours and their distance in Å.
Positions (direct):
1 La 0.2094 0.1442 0.3536  4 Sm 3.52-3.93, 4 Tl 3.55-3.76
2 La 0.2906 0.6442 0.9348  4 Sm 3.52-3.93, 4 Tl 3.55-3.76
3 La 0.7094 0.3558 0.0652  4 Sm 3.52-3.93, 4 Tl 3.55-3.76
4 La 0.7906 0.8558 0.6464  4 Sm 3.52-3.93, 4 Tl 3.55-3.76
5 Sm 0.1606 0.4226 0.5831  3 Tl 3.07-3.16
6 Sm 0.2500 0.2500 0.0000  4 Tl 3.29, 4 Sm 3.38-3.41
7 Sm 0.2500 0.5084 0.2584  3 Tl 3.16-3.24, 3 Sm 3.38-3.41
8 Sm 0.2500 0.9916 0.7416  3 Tl 3.16-3.24, 3 Sm 3.38-3.41
9 Sm 0.3394 0.9226 0.2620  3 Tl 3.07-3.16
10 Sm 0.6606 0.0774 0.7380  3 Tl 3.07-3.16
11 Sm 0.7500 0.0084 0.2584  3 Tl 3.16-3.24, 3 Sm 3.38-3.41
12 Sm 0.7500 0.4916 0.7416  3 Tl 3.16-3.24, 3 Sm 3.38-3.41
13 Sm 0.7500 0.7500 0.0000  4 Tl 3.29, 4 Sm 3.38-3.41
14 Sm 0.8394 0.5774 0.4169  3 Tl 3.07-3.16
15 Tl 0.1447 0.8668 0.0114  5 Sm 3.07-3.29
16 Tl 0.2500 0.7500 0.5000  6 Sm 3.16, 2 Tl 3.41
17 Tl 0.3553 0.3668 0.7221  5 Sm 3.07-3.29
18 Tl 0.6447 0.6332 0.2779  5 Sm 3.07-3.29
19 Tl 0.7500 0.2500 0.5000  6 Sm 3.16, 2 Tl 3.41
20 Tl 0.8553 0.1332 0.9886  5 Sm 3.07-3.29

Compound: BiH3Pd
Source: Alexandria via LeMat-Bulk
Functional: PBE-GGA
Structure: relaxed

space-group type: Pm-3m, No. 221
relative energy among the computed polymorphs: 0.000 eV per atom

Cell: 3.8077 3.8077 3.8077 Å, 90.00 90.00 90.00°
Last column: nearest neighbours and their distance in Å.
Positions (direct):
1 Bi 0.0000 0.0000 0.0000  12 H 2.69
2 H 0.0000 0.5000 0.5000  2 Pd 1.90
3 H 0.5000 0.0000 0.5000  2 Pd 1.90
4 H 0.5000 0.5000 0.0000  2 Pd 1.90
5 Pd 0.5000 0.5000 0.5000  6 H 1.90

V readings, ordered: 22.58; 16.69; 32.42; 30.26; 16.07; 22.29; 17.14; 24.01; 35.18; 32.40; 34.17; 11.04 Å³ per atom